Entry from Alexandria: a relaxed structure of Pm3Tl2Ag4 (PBE-GGA).

a b c (Å): 4.948 6.056 9.283
angles (deg): 116.94 90.00 114.11
Sites, in units of the cell vectors:
Tl1 0.381 0.762 0.716
Tl2 0.619 0.238 0.284
Pm1 0.000 0.000 0.000
Pm2 0.337 0.674 0.327
Pm3 0.663 0.326 0.673
Ag1 0.725 0.451 0.054
Ag2 0.941 0.881 0.603
Ag3 0.059 0.119 0.397
Ag4 0.275 0.549 0.946

Calculated values
As for the density of states at the Fermi level: 5.20 states/eV/cell. For the raw total energy, the calculation gives -32.89 eV for the cell shown. As for the magnetic moment: 0.0 μB/f.u. The value obtained for the energy of formation from the pure elements is -2.5 eV/f.u. Its density is 9.609 g/cm³. Its space group is C2/m (12).